! Cs2Os2C (PBE, relaxed); values from VASP
! - Distance to the lowest polymorph of the same formula: 0 meV per atom
! - Energy of formation from the pure elements: 1.48 eV/atom
! - E_tot: -5.200 eV per atom
&SYSTEM
  ibrav = 0, nat = 10, ntyp = 3
/
ATOMIC_SPECIES
Cs 132.91 Cs.upf
C 12.01 C.upf
Os 190.23 Os.upf
CELL_PARAMETERS angstrom
5.858 0.000 0.000
0.000 5.858 0.000
0.000 0.000 6.327
ATOMIC_POSITIONS crystal
Cs 0.314 0.186 0.500
Cs 0.186 0.686 0.500
Cs 0.686 0.814 0.500
Cs 0.814 0.314 0.500
C 0.000 0.000 0.000
C 0.500 0.500 0.000
Os 0.161 0.339 0.000
Os 0.839 0.661 0.000
Os 0.661 0.161 0.000
Os 0.339 0.839 0.000